Entry i
Material: CsCuIr3
Method: DFT, GGA-PBE
State: optimized geometry

As for the crystal system: cubic. The calculation puts the theoretical density at 12.11 g/cm³. The value obtained for the density of states at the Fermi level is 7.8 states/eV/cell.

It has space group Pm-3m (No. 221), with a = 4.733 Å, b = 4.733 Å, c = 4.733 Å, α = 90.00°, β = 90.00° and γ = 90.00°. Symmetry generates all atoms from Cs at (0.000, 0.000, 0.000), Cu at (0.500, 0.500, 0.500) and Ir at (0.000, 0.500, 0.500).


Entry ii
Material: CsCuIr3
Method: DFT, GGA-PBE
State: optimized geometry

As for the crystal system: cubic. The calculation puts the theoretical density at 10.47 g/cm³. The value obtained for the density of states at the Fermi level is 5.9 states/eV/cell.

It has space group Pm-3m (No. 221), with a = 4.968 Å, b = 4.968 Å, c = 4.968 Å, α = 90.00°, β = 90.00° and γ = 90.00°. Symmetry generates all atoms from Cs at (0.000, 0.000, 0.000), Cu at (0.500, 0.500, 0.500) and Ir at (0.000, 0.000, 0.500).


entry i (1.545 eV/atom below the next structure)


Entry i
Material: Cs3KCu
Method: DFT, GGA-PBE
State: optimized geometry

As for the crystal system: cubic. The calculation puts the theoretical density at 2.11 g/cm³. The value obtained for the density of states at the Fermi level is 10.4 states/eV/cell.

It has space group Pm-3m (No. 221), with a = 7.330 Å, b = 7.330 Å, c = 7.330 Å, α = 90.00°, β = 90.00° and γ = 90.00°. Symmetry generates all atoms from Cs at (0.000, 0.000, 0.500), K at (0.500, 0.500, 0.500) and Cu at (0.000, 0.000, 0.000).


Entry ii
Material: Cs3KCu
Method: DFT, GGA-PBE
State: optimized geometry

As for the crystal system: cubic. The calculation puts the theoretical density at 1.46 g/cm³. The value obtained for the density of states at the Fermi level is 6.6 states/eV/cell.

It has space group Pm-3m (No. 221), with a = 8.285 Å, b = 8.285 Å, c = 8.285 Å, α = 90.00°, β = 90.00° and γ = 90.00°. Symmetry generates all atoms from Cs at (0.000, 0.000, 0.500), K at (0.000, 0.000, 0.000) and Cu at (0.500, 0.500, 0.500).


entry i (0.407 eV/atom below the next structure)


Entry i
Material: CsKCu3
Method: DFT, GGA-PBE
State: optimized geometry

As for the crystal system: cubic. The calculation puts the theoretical density at 2.87 g/cm³. The value obtained for the density of states at the Fermi level is 3.7 states/eV/cell.

It has space group Pm-3m (No. 221), with a = 5.942 Å, b = 5.942 Å, c = 5.942 Å, α = 90.00°, β = 90.00° and γ = 90.00°. Symmetry generates all atoms from Cs at (0.000, 0.000, 0.000), K at (0.500, 0.500, 0.500) and Cu at (0.000, 0.500, 0.500).


Entry ii
Material: CsKCu3
Method: DFT, GGA-PBE
State: optimized geometry

As for the crystal system: cubic. The calculation puts the theoretical density at 2.58 g/cm³. The value obtained for the density of states at the Fermi level is 11.1 states/eV/cell.

It has space group Pm-3m (No. 221), with a = 6.153 Å, b = 6.153 Å, c = 6.153 Å, α = 90.00°, β = 90.00° and γ = 90.00°. Symmetry generates all atoms from Cs at (0.000, 0.000, 0.000), K at (0.500, 0.500, 0.500) and Cu at (0.000, 0.000, 0.500).


entry i (0.198 eV/atom below the next structure)